Li4AgGe2Pt | GGA-PBE | relaxed

## Properties
For the volume, the calculation gives 14.41 Å³/atom. For the uncorrected energy, the calculation gives -3.695 eV/atom.

Cell lengths 4.3394, 4.3394, 6.1235 Å; angles 90.00, 90.00, 90.00 degrees
Element x y z (fractional)
Li (0.0000, 0.0000, 0.0000)
Li (0.0000, 0.5000, 0.7456)
Li (0.5000, 0.0000, 0.2544)
Li (0.5000, 0.5000, 0.5000)
Ag (0.5000, 0.5000, 0.0000)
Ge (0.0000, 0.5000, 0.2698)
Ge (0.5000, 0.0000, 0.7302)
Pt (0.0000, 0.0000, 0.5000)